[1]
Material: NdBeGePt3
Method: DFT, PBE-GGA
State: relaxed

Its total magnetization is 0.00 μB/atom.

The structure belongs to space group Cmcm (No. 63); the cell edges are 6.4422, 11.9712 and 5.6220 Å and the angles 90.00°, 90.00° and 90.00°. Symmetry generates all atoms from Nd at (0.0000, 0.2258, 0.2500), Be at (0.0000, 0.4806, 0.2500), Ge at (0.0000, 0.1272, 0.7500), Pt at (0.0000, 0.3288, 0.7500) and Pt at (0.2268, 0.0000, 0.0000).



[2]
Material: Nd2Be4Ge3Pt
Method: DFT, PBE-GGA
State: relaxed

Its total magnetization is 0.00 μB/atom.

The structure belongs to space group P-4m2 (No. 115); the cell edges are 4.0104, 4.0104 and 9.9651 Å and the angles 90.00°, 90.00° and 90.00°. Symmetry generates all atoms from Nd at (0.0000, 0.5000, 0.2462), Be at (0.0000, 0.0000, 0.0000), Be at (0.0000, 0.5000, 0.6290), Be at (0.5000, 0.5000, 0.0000), Ge at (0.0000, 0.5000, 0.8687), Ge at (0.5000, 0.5000, 0.5000) and Pt at (0.0000, 0.0000, 0.5000).



[3]
Material: Nd2Be3GePt4
Method: DFT, PBE-GGA
State: relaxed

Its total magnetization is 0.00 μB/atom.

The structure belongs to space group P-4m2 (No. 115); the cell edges are 4.1635, 4.1635 and 9.7216 Å and the angles 90.00°, 90.00° and 90.00°. Symmetry generates all atoms from Nd at (0.0000, 0.5000, 0.2479), Be at (0.0000, 0.5000, 0.8818), Be at (0.5000, 0.5000, 0.5000), Ge at (0.0000, 0.0000, 0.5000), Pt at (0.0000, 0.0000, 0.0000), Pt at (0.0000, 0.5000, 0.6385) and Pt at (0.5000, 0.5000, 0.0000).



[4]
Material: Nd2Be4GePt3
Method: DFT, PBE-GGA
State: relaxed

Its total magnetization is 0.00 μB/atom.

The structure belongs to space group P-4m2 (No. 115); the cell edges are 4.0745, 4.0745 and 9.7678 Å and the angles 90.00°, 90.00° and 90.00°. Symmetry generates all atoms from Nd at (0.0000, 0.5000, 0.2503), Be at (0.0000, 0.0000, 0.0000), Be at (0.0000, 0.5000, 0.6353), Be at (0.5000, 0.5000, 0.0000), Ge at (0.0000, 0.0000, 0.5000), Pt at (0.0000, 0.5000, 0.8842) and Pt at (0.5000, 0.5000, 0.5000).



[5]
Material: NdBeGe2Rh
Method: DFT, PBE-GGA
State: relaxed

Its total magnetization is 0.00 μB/atom.

The structure belongs to space group I-4m2 (No. 119); the cell edges are 4.0533, 4.0533 and 10.6901 Å and the angles 90.00°, 90.00° and 90.00°. Symmetry generates all atoms from Nd at (0.0000, 0.0000, 0.0000), Be at (0.0000, 0.5000, 0.7500), Ge at (0.0000, 0.0000, 0.3785) and Rh at (0.0000, 0.5000, 0.2500).



[6]
Material: Nd2Be4Ge3Rh
Method: DFT, PBE-GGA
State: relaxed

Its total magnetization is 0.00 μB/atom.

The structure belongs to space group P-4m2 (No. 115); the cell edges are 4.0044, 4.0044 and 9.9028 Å and the angles 90.00°, 90.00° and 90.00°. Symmetry generates all atoms from Nd at (0.0000, 0.5000, 0.2481), Be at (0.0000, 0.0000, 0.0000), Be at (0.0000, 0.5000, 0.6254), Be at (0.5000, 0.5000, 0.0000), Ge at (0.0000, 0.5000, 0.8683), Ge at (0.5000, 0.5000, 0.5000) and Rh at (0.0000, 0.0000, 0.5000).



[7]
Material: BeNiGe3
Method: DFT, PBE-GGA
State: relaxed

Its total magnetization is 0.00 μB/atom. The energy above the lowest structure with this stoichiometry comes out at 0 meV per atom.

The structure belongs to space group Pm-3m (No. 221); the cell edges are 4.5675, 4.5675 and 4.5675 Å and the angles 90.00°, 90.00° and 90.00°. Symmetry generates all atoms from Be at (0.0000, 0.0000, 0.0000), Ni at (0.5000, 0.5000, 0.5000) and Ge at (0.0000, 0.5000, 0.5000).



[8]
Material: Be3NiGe
Method: DFT, PBE-GGA
State: relaxed

Its total magnetization is 0.00 μB/atom. The energy above the lowest structure with this stoichiometry comes out at 0 meV per atom.

The structure belongs to space group Pm-3m (No. 221); the cell edges are 4.0287, 4.0287 and 4.0287 Å and the angles 90.00°, 90.00° and 90.00°. Symmetry generates all atoms from Be at (0.0000, 0.0000, 0.5000), Ni at (0.0000, 0.0000, 0.0000) and Ge at (0.5000, 0.5000, 0.5000).



no.,energy of formation (meV per atom)
1,-762.2
2,-545.3
3,-874.6
4,-711.5
5,-626.6
6,-484.9
7,606.3
8,491.1